A plane-wave DFT calculation with GGA-PBE was carried out for crystalline YMn2Se2 at its relaxed geometry.

a b c (Å): 7.324 7.324 3.499
angles (deg): 90.00 90.00 90.00
Positions (direct):
1 Y 0.000 0.000 0.000
2 Y 0.500 0.500 0.000
3 Mn 0.120 0.380 0.000
4 Mn 0.380 0.880 0.000
5 Mn 0.620 0.120 0.000
6 Mn 0.880 0.620 0.000
7 Se 0.182 0.682 0.500
8 Se 0.318 0.182 0.500
9 Se 0.682 0.818 0.500
10 Se 0.818 0.318 0.500

Computed properties:
* ΔE_f (raw): -290 meV per atom
* V: 93.8 Å³/f.u.
* total energy: -66.45 eV/cell
* space-group type: P4/mbm
* magnetic moment: 7.1 μB/f.u.

---

A plane-wave DFT calculation with GGA-PBE was carried out for crystalline Th2CdCu12Ni3 at its relaxed geometry.

a b c (Å): 9.528 9.528 9.528
angles (deg): 37.93 37.93 37.93
Positions (direct):
1 Th 0.141 0.141 0.141
2 Th 0.859 0.859 0.859
3 Cd 0.500 0.500 0.500
4 Cu 0.060 0.615 0.615
5 Cu 0.086 0.086 0.702
6 Cu 0.086 0.702 0.086
7 Cu 0.298 0.914 0.914
8 Cu 0.385 0.385 0.940
9 Cu 0.385 0.940 0.385
10 Cu 0.615 0.060 0.615
11 Cu 0.615 0.615 0.060
12 Cu 0.702 0.086 0.086
13 Cu 0.914 0.298 0.914
14 Cu 0.914 0.914 0.298
15 Cu 0.940 0.385 0.385
16 Ni 0.000 0.500 0.500
17 Ni 0.500 0.000 0.500
18 Ni 0.500 0.500 0.000

Computed properties:
* V: 293.4 Å³/f.u.
* total energy: -77.33 eV/cell
* space-group type: R-3m
* ΔE_f: 274 meV per atom
* magnetic moment: 0.0 μB/f.u.

---

A plane-wave DFT calculation with GGA-PBE was carried out for crystalline Sm4HgPd3 at its relaxed geometry.

a b c (Å): 3.833 4.707 11.024
angles (deg): 90.00 90.00 90.00
Positions (direct):
1 Sm 0.000 0.000 0.000
2 Sm 0.000 0.500 0.262
3 Sm 0.500 0.000 0.476
4 Sm 0.500 0.500 0.772
5 Hg 0.000 0.000 0.708
6 Pd 0.000 0.500 0.539
7 Pd 0.500 0.000 0.211
8 Pd 0.500 0.500 0.043

Computed properties:
* V: 198.9 Å³/f.u.
* total energy: -40.66 eV/cell
* space-group type: Pmm2
* ΔE_f: -737 meV per atom
* magnetic moment: 0.0 μB/f.u.

---

A plane-wave DFT calculation with GGA-PBE was carried out for crystalline La6PmY4 at its relaxed geometry.

a b c (Å): 11.273 11.273 3.628
angles (deg): 90.00 90.00 120.00
Positions (direct):
1 La 0.181 0.362 0.000
2 La 0.181 0.819 0.000
3 La 0.525 0.051 0.500
4 La 0.525 0.475 0.500
5 La 0.638 0.819 0.000
6 La 0.949 0.475 0.500
7 Pm 0.000 0.000 0.500
8 Y 0.321 0.161 0.000
9 Y 0.333 0.667 0.500
10 Y 0.839 0.161 0.000
11 Y 0.839 0.679 0.000

Computed properties:
* V: 399.3 Å³/f.u.
* total energy: -58.59 eV/cell
* space-group type: P-6m2
* ΔE_f: 144 meV per atom
* magnetic moment: 0.0 μB/f.u.

---

A plane-wave DFT calculation with GGA-PBE was carried out for crystalline TaSiSe2 at its relaxed geometry.

a b c (Å): 3.740 4.638 4.421
angles (deg): 90.00 96.84 90.00
Positions (direct):
1 Ta 0.000 0.000 0.000
2 Si 0.500 0.000 0.500
3 Se 0.207 0.500 0.756
4 Se 0.793 0.500 0.244

Computed properties:
* ΔE_f (raw): 301 meV per atom
* V: 76.1 Å³/f.u.
* total energy: -23.04 eV/cell
* space-group type: P2/m
* magnetic moment: 0.0 μB/f.u.

---

A plane-wave DFT calculation with GGA-PBE was carried out for crystalline Mo2AsOs at its relaxed geometry.

a b c (Å): 3.117 3.117 6.344
angles (deg): 90.00 90.00 90.00
Positions (direct):
1 Mo 0.000 0.000 0.000
2 Mo 0.500 0.500 0.272
3 As 0.500 0.500 0.787
4 Os 0.000 0.000 0.508

Computed properties:
* V: 61.6 Å³/f.u.
* total energy: -36.89 eV/cell
* space-group type: P4mm
* ΔE_f: 163 meV per atom
* magnetic moment: 0.0 μB/f.u.

---

A plane-wave DFT calculation with GGA-PBE was carried out for crystalline CrCdTe2N at its relaxed geometry.

a b c (Å): 5.665 5.665 4.058
angles (deg): 90.00 90.00 90.00
Positions (direct):
1 Cr 0.000 0.000 0.000
2 Cd 0.500 0.500 0.500
3 Te 0.000 0.500 0.500
4 Te 0.500 0.000 0.500
5 N 0.500 0.500 0.000

Computed properties:
* ΔE_f (raw): 1620 meV per atom
* V: 130.2 Å³/f.u.
* total energy: -17.05 eV/cell
* space-group type: P4/mmm
* magnetic moment: 2.3 μB/f.u.

---

A plane-wave DFT calculation with GGA-PBE was carried out for crystalline ScBe2Fe at its relaxed geometry.

a b c (Å): 3.656 3.656 13.318
angles (deg): 90.00 90.00 120.00
Positions (direct):
1 Sc 0.000 0.000 0.000
2 Sc 0.333 0.667 0.667
3 Sc 0.667 0.333 0.333
4 Be 0.000 0.000 0.490
5 Be 0.000 0.000 0.806
6 Be 0.333 0.667 0.156
7 Be 0.333 0.667 0.473
8 Be 0.667 0.333 0.140
9 Be 0.667 0.333 0.823
10 Fe 0.000 0.000 0.200
11 Fe 0.333 0.667 0.867
12 Fe 0.667 0.333 0.533

Computed properties:
* V: 51.4 Å³/f.u.
* total energy: -67.24 eV/cell
* space-group type: R3m
* ΔE_f: -42 meV per atom
* magnetic moment: 0.0 μB/f.u.

---

A plane-wave DFT calculation with GGA-PBE was carried out for crystalline Pm9Y2Ho3 at its relaxed geometry.

a b c (Å): 9.045 9.045 13.961
angles (deg): 90.00 90.00 120.00
Positions (direct):
1 Pm 0.082 0.481 0.250
2 Pm 0.132 0.725 0.042
3 Pm 0.132 0.725 0.458
4 Pm 0.275 0.408 0.042
5 Pm 0.275 0.408 0.458
6 Pm 0.399 0.918 0.250
7 Pm 0.408 0.132 0.542
8 Pm 0.408 0.132 0.958
9 Pm 0.481 0.399 0.750
10 Pm 0.519 0.601 0.250
11 Pm 0.592 0.868 0.042
12 Pm 0.592 0.868 0.458
13 Pm 0.601 0.082 0.750
14 Pm 0.725 0.592 0.542
15 Pm 0.725 0.592 0.958
16 Pm 0.868 0.275 0.542
17 Pm 0.868 0.275 0.958
18 Pm 0.918 0.519 0.750
19 Y 0.333 0.667 0.642
20 Y 0.333 0.667 0.858
21 Y 0.667 0.333 0.142
22 Y 0.667 0.333 0.358
23 Ho 0.078 0.250 0.750
24 Ho 0.172 0.922 0.750
25 Ho 0.250 0.172 0.250
26 Ho 0.750 0.828 0.750
27 Ho 0.828 0.078 0.250
28 Ho 0.922 0.750 0.250

Computed properties:
* V: 494.5 Å³/f.u.
* total energy: -132.00 eV/cell
* space-group type: P6_3/m
* ΔE_f: 244 meV per atom
* magnetic moment: 0.0 μB/f.u.

---

A plane-wave DFT calculation with GGA-PBE was carried out for crystalline AcUPdS4 at its relaxed geometry.

a b c (Å): 6.564 6.059 8.197
angles (deg): 90.00 108.22 90.00
Positions (direct):
1 Ac 0.248 0.250 0.057
2 Ac 0.752 0.750 0.943
3 U 0.240 0.250 0.557
4 U 0.760 0.750 0.443
5 Pd 0.230 0.750 0.315
6 Pd 0.770 0.250 0.685
7 S 0.040 0.522 0.728
8 S 0.040 0.978 0.728
9 S 0.443 0.750 0.127
10 S 0.457 0.750 0.603
11 S 0.543 0.250 0.397
12 S 0.557 0.250 0.873
13 S 0.960 0.022 0.272
14 S 0.960 0.478 0.272

Computed properties:
* ΔE_f (raw): -1334 meV per atom
* V: 154.8 Å³/f.u.
* total energy: -92.88 eV/cell
* space-group type: P2_1/m
* magnetic moment: 1.6 μB/f.u.

---

A plane-wave DFT calculation with GGA-PBE was carried out for crystalline Ca2HoMg2In5 at its relaxed geometry.

a b c (Å): 10.790 10.790 4.526
angles (deg): 90.00 90.00 90.00
Positions (direct):
1 Ca 0.173 0.327 0.000
2 Ca 0.327 0.827 0.000
3 Ca 0.673 0.173 0.000
4 Ca 0.827 0.673 0.000
5 Ho 0.000 0.000 0.000
6 Ho 0.500 0.500 0.000
7 Mg 0.123 0.623 0.000
8 Mg 0.377 0.123 0.000
9 Mg 0.623 0.877 0.000
10 Mg 0.877 0.377 0.000
11 In 0.000 0.500 0.500
12 In 0.070 0.796 0.500
13 In 0.204 0.070 0.500
14 In 0.296 0.570 0.500
15 In 0.430 0.296 0.500
16 In 0.500 0.000 0.500
17 In 0.570 0.704 0.500
18 In 0.704 0.430 0.500
19 In 0.796 0.930 0.500
20 In 0.930 0.204 0.500

Computed properties:
* V: 263.5 Å³/f.u.
* total energy: -56.70 eV/cell
* space-group type: P4/mbm
* ΔE_f: -289 meV per atom
* magnetic moment: 0.0 μB/f.u.

---

A plane-wave DFT calculation with GGA-PBE was carried out for crystalline Co3WBr at its relaxed geometry.

a b c (Å): 4.575 4.575 4.575
angles (deg): 90.00 90.00 90.00
Positions (direct):
1 Co 0.000 0.000 0.500
2 Co 0.000 0.500 0.000
3 Co 0.500 0.000 0.000
4 W 0.000 0.000 0.000
5 Br 0.500 0.500 0.500

Computed properties:
* ΔE_f (raw): 1629 meV per atom
* V: 95.7 Å³/f.u.
* total energy: -27.80 eV/cell
* space-group type: Pm-3m
* magnetic moment: 2.4 μB/f.u.

---

A plane-wave DFT calculation with GGA-PBE was carried out for crystalline SrY2P at its relaxed geometry.

a b c (Å): 3.928 4.905 13.271
angles (deg): 90.00 90.00 90.00
Positions (direct):
1 Sr 0.000 0.000 0.000
2 Sr 0.000 0.500 0.500
3 Y 0.000 0.000 0.696
4 Y 0.000 0.500 0.196
5 Y 0.500 0.000 0.334
6 Y 0.500 0.500 0.834
7 P 0.500 0.000 0.542
8 P 0.500 0.500 0.042

Computed properties:
* V: 127.8 Å³/f.u.
* total energy: -43.95 eV/cell
* space-group type: Amm2
* ΔE_f: -489 meV per atom
* magnetic moment: 0.6 μB/f.u.

---

A plane-wave DFT calculation with GGA-PBE was carried out for crystalline Tb2Cu3Hg at its relaxed geometry.

a b c (Å): 3.866 3.867 16.666
angles (deg): 90.00 90.00 90.00
Positions (direct):
1 Tb 0.000 0.000 0.000
2 Tb 0.000 0.500 0.279
3 Tb 0.500 0.000 0.779
4 Tb 0.500 0.500 0.500
5 Cu 0.000 0.000 0.436
6 Cu 0.000 0.500 0.706
7 Cu 0.000 0.500 0.851
8 Cu 0.500 0.000 0.206
9 Cu 0.500 0.000 0.351
10 Cu 0.500 0.500 0.936
11 Hg 0.000 0.000 0.601
12 Hg 0.500 0.500 0.101

Computed properties:
* V: 124.6 Å³/f.u.
* total energy: -46.69 eV/cell
* space-group type: Imm2
* ΔE_f: -249 meV per atom
* magnetic moment: 0.0 μB/f.u.

---

A plane-wave DFT calculation with GGA-PBE was carried out for crystalline Na6AlCd23 at its relaxed geometry.

a b c (Å): 10.031 10.031 10.031
angles (deg): 60.00 60.00 60.00
Positions (direct):
1 Na 0.227 0.227 0.773
2 Na 0.227 0.773 0.227
3 Na 0.227 0.773 0.773
4 Na 0.773 0.227 0.227
5 Na 0.773 0.227 0.773
6 Na 0.773 0.773 0.227
7 Al 0.500 0.500 0.500
8 Cd 0.000 0.000 0.000
9 Cd 0.000 0.000 0.500
10 Cd 0.000 0.500 0.000
11 Cd 0.000 0.500 0.500
12 Cd 0.136 0.621 0.621
13 Cd 0.149 0.149 0.149
14 Cd 0.149 0.149 0.552
15 Cd 0.149 0.552 0.149
16 Cd 0.379 0.379 0.379
17 Cd 0.379 0.379 0.864
18 Cd 0.379 0.864 0.379
19 Cd 0.448 0.851 0.851
20 Cd 0.500 0.000 0.000
21 Cd 0.500 0.000 0.500
22 Cd 0.500 0.500 0.000
23 Cd 0.552 0.149 0.149
24 Cd 0.621 0.136 0.621
25 Cd 0.621 0.621 0.136
26 Cd 0.621 0.621 0.621
27 Cd 0.851 0.448 0.851
28 Cd 0.851 0.851 0.448
29 Cd 0.851 0.851 0.851
30 Cd 0.864 0.379 0.379

Computed properties:
* V: 713.8 Å³/f.u.
* total energy: -34.24 eV/cell
* space-group type: Fm-3m
* ΔE_f: -51 meV per atom
* magnetic moment: 0.0 μB/f.u.

---

A plane-wave DFT calculation with GGA-PBE was carried out for crystalline K2LiTlI at its relaxed geometry.

a b c (Å): 6.751 6.751 5.320
angles (deg): 90.00 90.00 90.00
Positions (direct):
1 K 0.000 0.500 0.000
2 K 0.500 0.000 0.000
3 Li 0.000 0.000 0.500
4 Tl 0.000 0.000 0.000
5 I 0.500 0.500 0.500

Computed properties:
* ΔE_f (raw): -241 meV per atom
* V: 242.5 Å³/f.u.
* total energy: -9.23 eV/cell
* space-group type: P4/mmm
* magnetic moment: 1.3 μB/f.u.

---

A plane-wave DFT calculation with GGA-PBE was carried out for crystalline CaDyGaRh at its relaxed geometry.

a b c (Å): 7.018 7.018 7.018
angles (deg): 90.00 90.00 90.00
Positions (direct):
1 Ca 0.000 0.000 0.000
2 Ca 0.000 0.500 0.500
3 Ca 0.500 0.000 0.500
4 Ca 0.500 0.500 0.000
5 Dy 0.000 0.000 0.500
6 Dy 0.000 0.500 0.000
7 Dy 0.500 0.000 0.000
8 Dy 0.500 0.500 0.500
9 Ga 0.250 0.250 0.750
10 Ga 0.250 0.750 0.250
11 Ga 0.750 0.250 0.250
12 Ga 0.750 0.750 0.750
13 Rh 0.250 0.250 0.250
14 Rh 0.250 0.750 0.750
15 Rh 0.750 0.250 0.750
16 Rh 0.750 0.750 0.250

Computed properties:
* V: 86.4 Å³/f.u.
* total energy: -76.23 eV/cell
* space-group type: F-43m
* ΔE_f: -519 meV per atom
* magnetic moment: 0.0 μB/f.u.

---

A plane-wave DFT calculation with GGA-PBE was carried out for crystalline Ac8La2Sm3 at its relaxed geometry.

a b c (Å): 9.507 9.507 6.510
angles (deg): 106.31 106.31 83.33
Positions (direct):
1 Ac 0.071 0.071 0.297
2 Ac 0.101 0.579 0.846
3 Ac 0.358 0.358 0.410
4 Ac 0.421 0.899 0.154
5 Ac 0.579 0.101 0.846
6 Ac 0.642 0.642 0.590
7 Ac 0.899 0.421 0.154
8 Ac 0.929 0.929 0.703
9 La 0.197 0.197 0.860
10 La 0.803 0.803 0.140
11 Sm 0.243 0.757 0.500
12 Sm 0.500 0.500 0.000
13 Sm 0.757 0.243 0.500

Computed properties:
* V: 541.6 Å³/f.u.
* total energy: -54.61 eV/cell
* space-group type: C2/m
* ΔE_f: 175 meV per atom
* magnetic moment: 0.0 μB/f.u.

---

A plane-wave DFT calculation with GGA-PBE was carried out for crystalline Ca2ReSe at its relaxed geometry.

a b c (Å): 3.323 5.058 11.076
angles (deg): 90.00 90.00 90.00
Positions (direct):
1 Ca 0.000 0.000 0.000
2 Ca 0.000 0.500 0.194
3 Ca 0.500 0.000 0.694
4 Ca 0.500 0.500 0.500
5 Re 0.000 0.500 0.757
6 Re 0.500 0.000 0.257
7 Se 0.000 0.000 0.425
8 Se 0.500 0.500 0.925

Computed properties:
* ΔE_f (raw): -51 meV per atom
* V: 93.1 Å³/f.u.
* total energy: -40.28 eV/cell
* space-group type: Imm2
* magnetic moment: 0.7 μB/f.u.

---

A plane-wave DFT calculation with GGA-PBE was carried out for crystalline AcTlGa2 at its relaxed geometry.

a b c (Å): 7.515 7.515 7.515
angles (deg): 90.00 90.00 90.00
Positions (direct):
1 Ac 0.000 0.000 0.000
2 Ac 0.000 0.500 0.500
3 Ac 0.500 0.000 0.500
4 Ac 0.500 0.500 0.000
5 Tl 0.000 0.000 0.500
6 Tl 0.000 0.500 0.000
7 Tl 0.500 0.000 0.000
8 Tl 0.500 0.500 0.500
9 Ga 0.250 0.250 0.250
10 Ga 0.250 0.250 0.750
11 Ga 0.250 0.750 0.250
12 Ga 0.250 0.750 0.750
13 Ga 0.750 0.250 0.250
14 Ga 0.750 0.250 0.750
15 Ga 0.750 0.750 0.250
16 Ga 0.750 0.750 0.750

Computed properties:
* V: 106.1 Å³/f.u.
* total energy: -54.19 eV/cell
* space-group type: Fm-3m
* ΔE_f: -255 meV per atom
* magnetic moment: 0.0 μB/f.u.

---

A plane-wave DFT calculation with GGA-PBE was carried out for crystalline MgHIr2 at its relaxed geometry.

a b c (Å): 4.870 4.881 4.927
angles (deg): 119.65 100.25 98.15
Positions (direct):
1 Mg 0.011 0.162 0.334
2 Mg 0.989 0.838 0.666
3 H 0.278 0.592 0.360
4 H 0.722 0.408 0.640
5 Ir 0.000 0.500 0.000
6 Ir 0.499 0.311 0.130
7 Ir 0.500 0.000 0.500
8 Ir 0.501 0.689 0.870

Computed properties:
* V: 48.2 Å³/f.u.
* total energy: -46.37 eV/cell
* space-group type: P-1
* magnetic moment: 0.0 μB/f.u.

---

A plane-wave DFT calculation with GGA-PBE was carried out for crystalline ZrCr2Pt at its relaxed geometry.

a b c (Å): 9.565 2.933 4.822
angles (deg): 90.00 106.43 90.00
Positions (direct):
1 Zr 0.000 0.000 0.000
2 Zr 0.500 0.500 0.000
3 Cr 0.240 0.000 0.665
4 Cr 0.260 0.500 0.335
5 Cr 0.740 0.500 0.665
6 Cr 0.760 0.000 0.335
7 Pt 0.000 0.500 0.500
8 Pt 0.500 0.000 0.500

Computed properties:
* V: 64.9 Å³/f.u.
* total energy: -67.56 eV/cell
* space-group type: C2/m
* ΔE_f: 14 meV per atom
* magnetic moment: 0.0 μB/f.u.